[1]
DFT (PBE-GGA) results for a geometry-optimized Sn2BiAs2 structure.

```
Sn2BiAs2
1.0
-1.989 1.989 8.407
1.989 -1.989 8.407
1.989 1.989 -8.407
Sn Bi As
2 1 2
Direct
0.109 0.109 0.000
0.891 0.891 0.000
0.500 0.500 0.000
0.250 0.750 0.500
0.750 0.250 0.500
```

Summary:
The calculation puts the excess energy over the best structure of this formula in the dataset at 18 kJ/mol of formula units. Its space group is I4/mmm (139). The density of states at the Fermi level comes out at 3.25 states/eV/f.u.

---

[2]
DFT (PBE-GGA) results for a geometry-optimized SnBi2As structure.

```
SnBi2As
1.0
-3.240 3.240 7.551
3.240 -3.240 7.551
3.240 3.240 -7.551
Sn Bi As
2 4 2
Direct
0.000 0.000 0.000
0.750 0.250 0.500
0.150 0.625 0.025
0.375 0.400 0.525
0.600 0.125 0.975
0.875 0.850 0.475
0.250 0.750 0.500
0.500 0.500 0.000
```

Summary:
The calculation puts the excess energy over the best structure of this formula in the dataset at 57 kJ/mol of formula units. Its space group is I-42d (122). The density of states at the Fermi level comes out at 2.23 states/eV/f.u.

---

[3]
DFT (PBE-GGA) results for a geometry-optimized SnBi2As structure.

```
SnBi2As
1.0
0.000 3.809 3.809
3.809 0.000 3.809
3.809 3.809 0.000
Sn Bi As
1 2 1
Direct
0.000 0.000 0.000
0.250 0.250 0.250
0.750 0.750 0.750
0.500 0.500 0.500
```

Summary:
The calculation puts the excess energy over the best structure of this formula in the dataset at 51 kJ/mol of formula units. Its space group is Fm-3m (225). The density of states at the Fermi level comes out at 2.87 states/eV/f.u.

---

[4]
DFT (PBE-GGA) results for a geometry-optimized Sn5BiAs4 structure.

```
Sn5BiAs4
1.0
4.199 0.000 0.000
-2.100 3.637 0.000
0.000 0.000 46.268
Sn Bi As
10 2 8
Direct
0.000 0.000 0.000
0.000 0.000 0.195
0.000 0.000 0.392
0.000 0.000 0.588
0.000 0.000 0.795
0.333 0.667 0.109
0.333 0.667 0.306
0.333 0.667 0.503
0.333 0.667 0.709
0.333 0.667 0.914
0.000 0.000 0.674
0.000 0.000 0.879
0.000 0.000 0.083
0.000 0.000 0.280
0.000 0.000 0.477
0.333 0.667 0.166
0.333 0.667 0.364
0.333 0.667 0.560
0.333 0.667 0.767
0.333 0.667 0.972
```

Summary:
Its space group is P3m1 (156). The density of states at the Fermi level comes out at 1.02 states/eV/f.u. The value obtained for the total energy is -4.22 eV/atom.

---

[5]
DFT (PBE-GGA) results for a geometry-optimized Sn2BiAs2 structure.

```
Sn2BiAs2
1.0
8.128 0.000 0.000
0.000 8.128 0.000
0.000 0.000 3.913
Sn Bi As
4 2 4
Direct
0.148 0.352 0.000
0.352 0.852 0.000
0.648 0.148 0.000
0.852 0.648 0.000
0.000 0.000 0.500
0.500 0.500 0.500
0.158 0.658 0.500
0.342 0.158 0.500
0.658 0.842 0.500
0.842 0.342 0.500
```

Summary:
The calculation puts the excess energy over the best structure of this formula in the dataset at 0 kJ/mol of formula units. Its space group is P4/mbm (127). The density of states at the Fermi level comes out at 2.13 states/eV/f.u.

---

[6]
DFT (PBE-GGA) results for a geometry-optimized Sn2BiAs2 structure.

```
Sn2BiAs2
1.0
-2.375 2.375 6.097
2.375 -2.375 6.097
2.375 2.375 -6.097
Sn Bi As
2 1 2
Direct
0.250 0.750 0.500
0.750 0.250 0.500
0.000 0.000 0.000
0.392 0.392 0.000
0.608 0.608 0.000
```

Summary:
The calculation puts the excess energy over the best structure of this formula in the dataset at 74 kJ/mol of formula units. Its space group is I4/mmm (139). The density of states at the Fermi level comes out at 3.44 states/eV/f.u.

---

[7]
DFT (PBE-GGA) results for a geometry-optimized Sn2Bi2As structure.

```
Sn2Bi2As
1.0
8.237 0.000 0.000
0.000 8.237 0.000
0.000 0.000 4.465
Sn Bi As
4 4 2
Direct
0.135 0.365 0.000
0.365 0.865 0.000
0.635 0.135 0.000
0.865 0.635 0.000
0.171 0.671 0.500
0.329 0.171 0.500
0.671 0.829 0.500
0.829 0.329 0.500
0.000 0.000 0.500
0.500 0.500 0.500
```

Summary:
The calculation puts the excess energy over the best structure of this formula in the dataset at 0 kJ/mol of formula units. Its space group is P4/mbm (127). The density of states at the Fermi level comes out at 2.99 states/eV/f.u.

---

[8]
DFT (PBE-GGA) results for a geometry-optimized SnBi2As structure.

```
SnBi2As
1.0
2.078 1.200 8.286
-2.078 1.200 8.286
0.000 -2.399 8.286
Sn Bi As
1 2 1
Direct
0.000 0.000 0.000
0.257 0.257 0.257
0.435 0.435 0.435
0.832 0.832 0.832
```

Summary:
The calculation puts the excess energy over the best structure of this formula in the dataset at 4 kJ/mol of formula units. Its space group is R3m (160). The density of states at the Fermi level comes out at 1.91 states/eV/f.u.

---

[9]
DFT (PBE-GGA) results for a geometry-optimized SnBi2As structure.

```
SnBi2As
1.0
2.161 1.248 7.373
-2.161 1.248 7.373
0.000 -2.496 7.373
Sn Bi As
1 2 1
Direct
0.000 0.000 0.000
0.244 0.244 0.244
0.756 0.756 0.756
0.500 0.500 0.500
```

Summary:
The calculation puts the excess energy over the best structure of this formula in the dataset at 0 kJ/mol of formula units. Its space group is R-3m (166). The density of states at the Fermi level comes out at 2.09 states/eV/f.u.

---

[10]
DFT (PBE-GGA) results for a geometry-optimized SnBi2As2 structure.

```
SnBi2As2
1.0
8.197 0.000 0.000
0.000 8.197 0.000
0.000 0.000 3.987
Sn Bi As
2 4 4
Direct
0.000 0.000 0.000
0.500 0.500 0.000
0.156 0.344 0.500
0.344 0.844 0.500
0.656 0.156 0.500
0.844 0.656 0.500
0.159 0.659 0.000
0.341 0.159 0.000
0.659 0.841 0.000
0.841 0.341 0.000
```

Summary:
The calculation puts the excess energy over the best structure of this formula in the dataset at 0 kJ/mol of formula units. Its space group is P4/mbm (127). The density of states at the Fermi level comes out at 2.60 states/eV/f.u.

---

[11]
DFT (PBE-GGA) results for a geometry-optimized Sr2SnBiAs structure.

```
Sr2SnBiAs
1.0
7.192 0.000 0.000
0.000 4.609 0.000
-2.826 0.000 10.828
Sr Sn Bi As
4 2 2 2
Direct
0.123 0.250 0.369
0.226 0.750 0.982
0.774 0.250 0.018
0.877 0.750 0.631
0.355 0.250 0.777
0.645 0.750 0.223
0.370 0.750 0.604
0.630 0.250 0.396
0.004 0.750 0.180
0.996 0.250 0.820
```

Summary:
Its space group is P2_1/m (11). The density of states at the Fermi level comes out at 0.40 states/eV/f.u. The value obtained for the total energy is -3.92 eV/atom.

---

[12]
DFT (PBE-GGA) results for a geometry-optimized TcSn2BiAs structure.

```
TcSn2BiAs
1.0
5.329 0.000 0.000
0.000 5.329 0.000
0.000 0.000 4.693
Tc Sn Bi As
1 2 1 1
Direct
0.000 0.000 0.000
0.000 0.500 0.000
0.500 0.000 0.000
0.500 0.500 0.500
0.000 0.000 0.500
```

Summary:
Its space group is P4/mmm (123). The density of states at the Fermi level comes out at 5.37 states/eV/f.u. The value obtained for the total energy is -5.11 eV/atom.